## CdIn2Ag2 (PBE)

Data for an optimized crystal structure of CdIn2Ag2.

Cell: 4.756 4.773 5.734 Å, 89.98 89.84 60.87°
Space group P-1 (No. 2)
Asymmetric unit:
Cd1 0.000 0.000 0.000 [1 per cell]
In1 0.331 0.328 0.359 [2 per cell]
Ag1 0.335 0.337 0.855 [2 per cell]

## Properties
Total DFT energy (no corrections) in eV per atom: -2.431
Calculated formation energy in kcal/mol of atoms: -0.3